Compound: Cd3Ag
Source: Alexandria
Functional: PBEsol
Structure: optimized geometry

Calculated values
Mass density, Mg/m³: 9.58
SG: P-6m2 (187)
Energy of formation from the pure elements, meV/atom: -36

Cell lengths 3.064, 3.064, 9.489 Å; angles 90.00, 90.00, 120.00 degrees
Fractional positions:
Cd1 0.667 0.333 0.761
Cd2 0.000 0.000 0.500
Ag1 0.000 0.000 0.000
Cd3 0.667 0.333 0.239

***

Compound: AgCl2
Source: Alexandria
Functional: PBEsol
Structure: optimized geometry

Calculated values
Formation energy (no corrections), eV/f.u.: -0.92
Mass density, Mg/m³: 4.13
SG: Pnma (62)

Cell lengths 3.596, 7.090, 11.267 Å; angles 90.00, 90.00, 90.00 degrees
Fractional positions:
Cl1 0.250 0.364 0.372
Ag1 0.750 0.750 0.001
Ag2 0.250 0.750 0.501
Ag3 0.750 0.250 0.499
Cl2 0.750 0.363 0.126
Cl3 0.750 0.636 0.628
Cl4 0.250 0.137 0.626
Cl5 0.750 0.136 0.872
Cl6 0.250 0.637 0.874
Ag4 0.250 0.250 0.999
Cl7 0.250 0.864 0.128
Cl8 0.750 0.863 0.374

***

Compound: Sr4Zn
Source: Alexandria
Functional: PBEsol
Structure: optimized geometry

Calculated values
Mass density, Mg/m³: 3.31
SG: I4/m (87)
Energy of formation from the pure elements, meV/atom: -41

Cell lengths 3.999, 7.490, 7.490 Å; angles 85.91, 74.52, 74.52 degrees
Fractional positions:
Zn1 0.000 0.000 0.000
Sr1 0.567 0.678 0.189
Sr2 0.756 0.811 0.678
Sr3 0.244 0.189 0.322
Sr4 0.433 0.322 0.811

***

Compound: TaP2AuCl
Source: Alexandria
Functional: PBEsol
Structure: optimized geometry

Calculated values
Formation energy (no corrections), eV/f.u.: 1.83
Mass density, Mg/m³: 7.37
SG: P4/mmm (123)

Cell lengths 4.617, 4.817, 4.817 Å; angles 90.00, 90.00, 90.00 degrees
Fractional positions:
Cl1 0.500 0.000 0.000
P1 0.000 0.500 0.000
Au1 0.500 0.500 0.500
P2 0.000 0.000 0.500
Ta1 0.000 0.000 0.000

***

Compound: SbTe2SF
Source: Alexandria
Functional: PBEsol
Structure: optimized geometry

Calculated values
Formation energy (no corrections), eV/f.u.: 1.51
Mass density, Mg/m³: 5.88
SG: P4/mmm (123)

Cell lengths 4.548, 4.548, 5.844 Å; angles 90.00, 90.00, 90.00 degrees
Fractional positions:
Te1 0.500 0.000 0.000
S1 0.500 0.500 0.500
F1 0.000 0.000 0.000
Sb1 0.000 0.000 0.500
Te2 0.000 0.500 0.000

***

Compound: Li2ZrCr
Source: Alexandria
Functional: PBEsol
Structure: optimized geometry

Calculated values
Offset from the most stable computed form, meV/atom: 44
Mass density, Mg/m³: 4.01
SG: I-42d (122)
Energy of formation from the pure elements, meV/atom: 737

Cell lengths 4.912, 5.705, 5.705 Å; angles 79.32, 64.50, 64.50 degrees
Each line ends with the local moment (μB).
Fractional positions:
Cr1 0.250 0.500 0.500  2.27
Zr1 0.000 0.000 0.000  -0.55
Li1 0.596 0.029 0.529  -0.02
Li2 0.875 0.529 0.971  -0.02
Li3 0.375 0.471 0.029  -0.02
Cr2 0.500 0.000 0.000  2.27
Zr2 0.750 0.500 0.500  -0.55
Li4 0.154 0.971 0.471  -0.02

***

Compound: NbBrOF2
Source: Alexandria
Functional: PBEsol
Structure: optimized geometry

Calculated values
Formation energy (no corrections), eV/f.u.: 1.82
Mass density, Mg/m³: 4.47
SG: P4/mmm (123)

Cell lengths 3.645, 4.808, 4.808 Å; angles 90.00, 90.00, 90.00 degrees
Each line ends with the local moment (μB).
Fractional positions:
O1 0.500 0.000 0.000  -0.02
Nb1 0.500 0.500 0.500  2.76
Br1 0.000 0.000 0.000  -0.03
F1 0.000 0.000 0.500  -0.02
F2 0.000 0.500 0.000  -0.02

***

Compound: LuSnPt
Source: Alexandria
Functional: PBEsol
Structure: optimized geometry

Calculated values
Mass density, Mg/m³: 13.37
SG: P-62m (189)
Energy of formation from the pure elements, meV/atom: -1111

Cell lengths 3.894, 7.348, 7.348 Å; angles 120.00, 90.00, 90.00 degrees
Fractional positions:
Lu1 0.000 0.596 0.596
Lu2 0.000 0.000 0.404
Pt1 0.500 0.333 0.667
Pt2 0.500 0.667 0.333
Pt3 0.000 0.000 0.000
Sn1 0.500 0.262 0.262
Lu3 0.000 0.404 0.000
Sn2 0.500 0.000 0.738
Sn3 0.500 0.738 0.000

***

Compound: Cs2YSbAs
Source: Alexandria
Functional: PBEsol
Structure: optimized geometry

Calculated values
Formation energy (no corrections), eV/f.u.: 2.01
Mass density, Mg/m³: 3.36
SG: P4/mmm (123)

Cell lengths 5.212, 7.234, 7.234 Å; angles 90.00, 90.00, 90.00 degrees
Each line ends with the local moment (μB).
Fractional positions:
Cs1 0.000 0.500 0.000  0.02
Cs2 0.000 0.000 0.500  0.02
Y1 0.000 0.000 0.000  0.19
As1 0.500 0.000 0.000  0.05
Sb1 0.500 0.500 0.500  0.61

***

Compound: Li2Zn2Sn
Source: Alexandria
Functional: PBEsol
Structure: optimized geometry

Calculated values
Mass density, Mg/m³: 5.23
SG: P4/mbm (127)
Energy of formation from the pure elements, meV/atom: -174

Cell lengths 3.244, 7.182, 7.182 Å; angles 90.00, 90.00, 90.00 degrees
Fractional positions:
Zn1 0.000 0.377 0.877
Zn2 0.000 0.123 0.377
Zn3 0.000 0.877 0.623
Zn4 0.000 0.623 0.123
Li1 0.500 0.831 0.331
Li2 0.500 0.169 0.669
Sn1 0.000 0.000 0.000
Li3 0.500 0.331 0.169
Sn2 0.000 0.500 0.500
Li4 0.500 0.669 0.831

***

Compound: LaTeIr2
Source: Alexandria
Functional: PBEsol
Structure: optimized geometry

Calculated values
Formation energy (no corrections), eV/f.u.: 0.32
Mass density, Mg/m³: 13.70
SG: C2/m (12)

Cell lengths 3.081, 5.291, 5.716 Å; angles 117.28, 105.18, 90.94 degrees
Fractional positions:
Te1 0.000 0.500 0.000
Ir1 0.000 0.000 0.500
La1 0.500 0.000 0.000
Ir2 0.500 0.500 0.500

***

Compound: PPtCl2
Source: Alexandria
Functional: PBEsol
Structure: optimized geometry

Calculated values
Offset from the most stable computed form, meV/atom: 938
Formation energy (no corrections), eV/f.u.: 1.45
Mass density, Mg/m³: 7.25
SG: Fmmm (69)

Cell lengths 4.146, 4.146, 4.856 Å; angles 112.75, 112.75, 95.40 degrees
Fractional positions:
Pt1 0.000 0.000 0.000
Cl1 0.500 0.000 0.500
P1 0.500 0.500 0.000
Cl2 0.000 0.500 0.500

***

Compound: OsCl2F
Source: Alexandria
Functional: PBEsol
Structure: optimized geometry

Calculated values
Offset from the most stable computed form, meV/atom: 0
Formation energy (no corrections), eV/f.u.: 0.24
Mass density, Mg/m³: 6.20
SG: R-3m (166)

Cell lengths 3.550, 3.550, 7.179 Å; angles 75.69, 75.69, 60.00 degrees
Each line ends with the local moment (μB).
Fractional positions:
Os1 0.500 0.500 0.500  0.10
Cl1 0.110 0.110 0.671  0.03
F1 0.000 0.000 0.000  0.15
Cl2 0.890 0.890 0.329  0.03

***

Compound: Ba3HfTi
Source: Alexandria
Functional: PBEsol
Structure: optimized geometry

Calculated values
Offset from the most stable computed form, meV/atom: 0
Mass density, Mg/m³: 5.17
SG: Pm-3m (221)
Energy of formation from the pure elements, meV/atom: 1309

Cell lengths 5.895, 5.895, 5.895 Å; angles 90.00, 90.00, 90.00 degrees
Each line ends with the local moment (μB).
Fractional positions:
Hf1 0.500 0.500 0.500  -1.06
Ba1 0.000 0.000 0.500  0.05
Ba2 0.500 0.000 0.000  0.05
Ba3 0.000 0.500 0.000  0.05
Ti1 0.000 0.000 0.000  1.38

***

Compound: InFeSb2
Source: Alexandria
Functional: PBEsol
Structure: optimized geometry

Calculated values
Formation energy (no corrections), eV/f.u.: 1.91
Mass density, Mg/m³: 7.98
SG: I4/mmm (139)

Cell lengths 4.688, 5.137, 4.688 Å; angles 62.85, 90.00, 117.15 degrees
Each line ends with the local moment (μB).
Fractional positions:
Sb1 0.250 0.500 0.250  -0.05
Fe1 0.500 0.000 0.500  2.63
Sb2 0.750 0.500 0.750  -0.05
In1 0.000 0.000 0.000  0.01

***

Compound: Li4La5Ti6Nb2O26
Source: Alexandria
Functional: PBEsol
Structure: optimized geometry

Calculated values
Formation energy (no corrections), eV/f.u.: -131.20
Mass density, Mg/m³: 5.25
SG: Cmmm (65)

Cell lengths 5.479, 5.484, 17.186 Å; angles 90.00, 99.17, 90.00 degrees
Fractional positions:
O1 0.319 0.759 0.119
O2 0.200 0.759 0.881
O3 0.081 0.249 0.667
O4 0.614 0.500 0.227
La1 0.615 0.000 0.230
Nb1 0.678 0.500 0.355
La2 0.385 0.000 0.770
O5 0.113 0.000 0.227
Li1 0.000 0.241 0.500
O6 0.770 0.000 0.540
O7 0.800 0.241 0.119
O8 0.681 0.759 0.881
O9 0.319 0.241 0.119
O10 0.230 0.000 0.460
O11 0.887 0.000 0.773
O12 0.500 0.500 0.000
O13 0.200 0.241 0.881
Li2 0.500 0.241 0.500
O14 0.919 0.249 0.333
O15 0.081 0.751 0.667
Nb2 0.322 0.500 0.645
Ti1 0.944 0.000 0.887
Ti2 0.056 0.000 0.113
La3 0.500 0.000 0.000
O16 0.267 0.500 0.534
O17 0.414 0.249 0.333
O18 0.733 0.500 0.466
O19 0.414 0.751 0.333
Ti3 0.444 0.500 0.888
La4 0.886 0.500 0.771
O20 0.386 0.500 0.773
O21 0.919 0.751 0.333
O22 0.586 0.249 0.667
Li3 0.000 0.759 0.500
O23 0.681 0.241 0.881
La5 0.114 0.500 0.229
Ti4 0.556 0.500 0.112
Li4 0.500 0.759 0.500
O24 0.000 0.000 0.000
Ti5 0.823 0.000 0.646
Ti6 0.177 0.000 0.354
O25 0.586 0.751 0.667
O26 0.800 0.759 0.119

***

Compound: ScCrIn2
Source: Alexandria
Functional: PBEsol
Structure: optimized geometry

Calculated values
Offset from the most stable computed form, meV/atom: 165
Mass density, Mg/m³: 6.75
SG: P4mm (99)
Energy of formation from the pure elements, meV/atom: 128

Cell lengths 3.562, 3.562, 6.327 Å; angles 90.00, 90.00, 90.00 degrees
Each line ends with the local moment (μB).
Fractional positions:
In1 0.000 0.000 0.980  -0.03
Cr1 0.500 0.500 0.743  3.06
In2 0.500 0.500 0.256  -0.03
Sc1 0.000 0.000 0.520  -0.14

***

Compound: SiB2Os
Source: Alexandria
Functional: PBEsol
Structure: optimized geometry

Calculated values
Formation energy (no corrections), eV/f.u.: 2.35
Mass density, Mg/m³: 7.68
SG: I-42d (122)

Cell lengths 4.809, 4.809, 5.628 Å; angles 115.29, 115.29, 90.00 degrees
Fractional positions:
Si1 0.500 0.500 0.000
B1 0.625 0.631 0.750
Os1 0.000 0.000 0.000
Si2 0.750 0.250 0.500
B2 0.881 0.375 0.250
B3 0.125 0.119 0.750
Os2 0.250 0.750 0.500
B4 0.369 0.875 0.250

***

Compound: Zr2CuBr
Source: Alexandria
Functional: PBEsol
Structure: optimized geometry

Calculated values
Offset from the most stable computed form, meV/atom: 55
Formation energy (no corrections), eV/f.u.: -0.51
Mass density, Mg/m³: 7.57
SG: P4/mmm (123)

Cell lengths 3.093, 4.808, 4.808 Å; angles 90.00, 90.00, 90.00 degrees
Fractional positions:
Zr1 0.000 0.000 0.500
Cu1 0.500 0.000 0.000
Br1 0.500 0.500 0.500
Zr2 0.000 0.500 0.000

***

Compound: ScTlSb2Rh
Source: Alexandria
Functional: PBEsol
Structure: optimized geometry

Calculated values
Formation energy (no corrections), eV/f.u.: 6.71
Mass density, Mg/m³: 6.50
SG: P4/mmm (123)

Cell lengths 5.206, 5.407, 5.407 Å; angles 90.00, 90.00, 90.00 degrees
Fractional positions:
Tl1 0.000 0.000 0.000
Sb1 0.000 0.500 0.000
Rh1 0.500 0.500 0.500
Sb2 0.000 0.000 0.500
Sc1 0.500 0.000 0.000

***

no.,raw total energy (eV/cell)
1,-7.04
2,-33.00
3,-9.15
4,-28.23
5,-16.41
6,-40.64
7,-19.98
8,-58.28
9,-16.36
10,-24.46
11,-28.20
12,-15.32
13,-17.92
14,-18.73
15,-19.15
16,-373.85
17,-22.30
18,-59.30
19,-24.89
20,-19.78